The following is a PBE calculation of a geometry-optimized Li3Ca3Ag8 structure, from Alexandria via LeMat-Bulk.

Cell lengths 4.6952, 8.5795, 8.5795 Å; angles 67.44, 74.12, 74.12 degrees
Closest atoms and distances in Å follow each position.
Atoms (fractional coordinates):
Li: 0.5000 0.0000 0.0000  4 Ag 2.55
Li: 0.0000 0.7904 0.2096  6 Ag 2.71-2.82
Li: 0.0000 0.2096 0.7904  6 Ag 2.71-2.82
Ca: 0.5000 0.5000 0.5000  4 Ag 3.16
Ca: 0.7913 0.2087 0.2087  10 Ag 3.16-3.39, 2 Li 3.45
Ca: 0.2087 0.7913 0.7913  10 Ag 3.16-3.39, 2 Li 3.45
Ag: 0.6164 0.0952 0.6720  3 Li 2.55-2.82, 2 Ag 2.81
Ag: 0.3836 0.9048 0.3280  3 Li 2.55-2.82, 2 Ag 2.81
Ag: 0.6164 0.6720 0.0952  3 Li 2.55-2.82, 2 Ag 2.81
Ag: 0.3836 0.3280 0.9048  3 Li 2.55-2.82, 2 Ag 2.81
Ag: 0.8267 0.8206 0.5261  1 Li 2.71, 4 Ag 2.81-2.90
Ag: 0.1733 0.1794 0.4739  1 Li 2.71, 4 Ag 2.81-2.90
Ag: 0.8267 0.5261 0.8206  1 Li 2.71, 4 Ag 2.81-2.90
Ag: 0.1733 0.4739 0.1794  1 Li 2.71, 4 Ag 2.81-2.90

As for the space-group type: Immm, No. 71. The value obtained for the calculated density is 5.53 g/cm³. The calculation puts the total energy at -2.69 eV/atom. For the formation energy, the calculation gives -0.22 eV/atom.